The following is a DFT calculation (GGA-PBE) of LiEr2Si3 after structural relaxation.

Lattice parameters (Å, degrees): 5.635 5.635 8.032 109.55 109.55 92.63
Fractional positions:
Si  0.662  0.171  0.833
Si  0.338  0.829  0.167
Si  0.171  0.662  0.833
Si  0.829  0.338  0.167
Si  0.833  0.833  0.667
Si  0.167  0.167  0.333
Er  0.243  0.243  0.000
Er  0.750  0.250  0.500
Er  0.250  0.750  0.500
Er  0.757  0.757  0.000
Li  0.666  0.666  0.333
Li  0.334  0.334  0.667

Output
Total moment in Bohr magnetons per cell: 0.00
V in A^3/atom: 18.6
Formation energy without anion corrections in meV per atom: -612

***

The following is a DFT calculation (GGA-PBE) of ScPaIn2O8 after structural relaxation.

Lattice parameters (Å, degrees): 6.103 6.103 6.103 111.50 111.50 105.48
Each line ends with the local moment (μB).
Fractional positions:
O  0.961  0.264  0.303  0.24
O  0.291  0.485  0.194  0.08
O  0.342  0.039  0.303  0.24
O  0.961  0.658  0.697  0.24
O  0.736  0.039  0.697  0.24
O  0.291  0.097  0.806  0.08
O  0.515  0.709  0.806  0.08
O  0.903  0.709  0.194  0.08
In  0.750  0.250  0.500  -0.01
In  0.500  0.500  0.000  0.00
Sc  0.000  0.000  0.000  -0.03
Pa  0.250  0.750  0.500  -0.01

Output
Total moment in Bohr magnetons per cell: 1.50
V in A^3/atom: 14.5
Formation energy without anion corrections in meV per atom: -2066

***

The following is a DFT calculation (GGA-PBE) of ZnGa2NiSn after structural relaxation.

Lattice parameters (Å, degrees): 5.388 4.782 5.388 90.00 90.00 90.00
Fractional positions:
Ni  0.000  0.500  0.000
Ga  0.500  0.000  0.000
Ga  0.000  0.000  0.500
Sn  0.000  0.000  0.000
Zn  0.500  0.500  0.500

Output
Total moment in Bohr magnetons per cell: 0.00
Energy above the lowest structure with this stoichiometry in eV/f.u.: 1.48
Energy of formation in eV/atom: 0.71
V in A^3/atom: 27.8

***

The following is a DFT calculation (GGA-PBE) of TlCuIr after structural relaxation.

Lattice parameters (Å, degrees): 7.213 6.917 2.961 83.58 72.35 24.07
Fractional positions:
Cu  0.993  0.993  0.007
Ir  0.342  0.342  0.658
Tl  0.665  0.665  0.335

Output
Total moment in Bohr magnetons per cell: 0.00
Energy above the lowest structure with this stoichiometry in eV/f.u.: 0.40
Energy of formation in eV/atom: 0.58
V in A^3/atom: 17.3

***

The following is a DFT calculation (GGA-PBE) of SmMgSc2Au4 after structural relaxation.

Lattice parameters (Å, degrees): 4.779 4.779 8.855 74.35 74.35 60.00
Fractional positions:
Au  0.610  0.610  0.170
Au  0.875  0.875  0.376
Au  0.125  0.125  0.624
Au  0.390  0.390  0.830
Sc  0.758  0.758  0.726
Sc  0.242  0.242  0.274
Sm  0.000  0.000  0.000
Mg  0.500  0.500  0.500

Output
Total moment in Bohr magnetons per cell: 0.00
Energy of formation in eV/atom: -0.75
V in A^3/atom: 20.8

***

The following is a DFT calculation (GGA-PBE) of NaUBi2 after structural relaxation.

Lattice parameters (Å, degrees): 4.649 4.649 7.715 72.47 72.47 60.00
Each line ends with the local moment (μB).
Fractional positions:
U  0.000  0.000  0.000  1.65
Bi  0.259  0.259  0.222  -0.12
Bi  0.741  0.741  0.778  -0.12
Na  0.500  0.500  0.500  -0.01

Output
Total moment in Bohr magnetons per cell: 1.30
Energy above the lowest structure with this stoichiometry in eV/f.u.: 0.44
Energy of formation in eV/atom: 0.05
V in A^3/atom: 33.8

***

The following is a DFT calculation (GGA-PBE) of NiSnI2N after structural relaxation.

Lattice parameters (Å, degrees): 5.787 3.581 5.787 90.00 90.00 90.00
Fractional positions:
Ni  0.000  0.500  0.000
N  0.000  0.000  0.000
I  0.500  0.000  0.000
I  0.000  0.000  0.500
Sn  0.500  0.500  0.500

Output
Total moment in Bohr magnetons per cell: 0.00
Energy above the lowest structure with this stoichiometry in eV/f.u.: 0.60
V in A^3/atom: 24.0
Formation energy without anion corrections in meV per atom: 569

***

The following is a DFT calculation (GGA-PBE) of Tl2CoW after structural relaxation.

Lattice parameters (Å, degrees): 3.019 3.019 9.220 90.00 90.00 116.92
Each line ends with the local moment (μB).
Fractional positions:
Tl  0.000  0.000  0.518  -0.01
Tl  0.000  0.000  0.982  -0.01
W  0.500  0.500  0.250  0.04
Co  0.500  0.500  0.750  1.30

Output
Total moment in Bohr magnetons per cell: 1.28
Energy above the lowest structure with this stoichiometry in eV/f.u.: 1.67
Energy of formation in eV/atom: 0.94
V in A^3/atom: 18.7

***

The following is a DFT calculation (GGA-PBE) of SrReRh2 after structural relaxation.

Lattice parameters (Å, degrees): 4.630 4.630 4.630 60.00 60.00 60.00
Fractional positions:
Sr  0.750  0.750  0.750
Rh  0.250  0.250  0.250
Rh  0.000  0.000  0.000
Re  0.500  0.500  0.500

Output
Total moment in Bohr magnetons per cell: 0.00
Energy above the lowest structure with this stoichiometry in eV/f.u.: 2.59
Energy of formation in eV/atom: 0.81
V in A^3/atom: 17.6

***

The following is a DFT calculation (GGA-PBE) of Al2CdAs after structural relaxation.

Lattice parameters (Å, degrees): 4.826 4.826 4.826 60.00 60.00 60.00
Fractional positions:
Cd  0.750  0.750  0.750
Al  0.250  0.250  0.250
Al  0.000  0.000  0.000
As  0.500  0.500  0.500

Output
Total moment in Bohr magnetons per cell: 0.00
Energy above the lowest structure with this stoichiometry in eV/f.u.: 0.74
Energy of formation in eV/atom: 0.24
V in A^3/atom: 19.9

***

The following is a DFT calculation (GGA-PBE) of PrGdMg2 after structural relaxation.

Lattice parameters (Å, degrees): 3.894 5.453 5.453 90.00 90.00 90.00
Each line ends with the local moment (μB).
Fractional positions:
Mg  0.000  0.500  0.000  0.00
Mg  0.000  0.000  0.500  0.00
Pr  0.500  0.000  0.000  0.03
Gd  0.500  0.500  0.500  7.25

Output
Total moment in Bohr magnetons per cell: 7.73
Energy above the lowest structure with this stoichiometry in eV/f.u.: 0.01
Energy of formation in eV/atom: -0.11
V in A^3/atom: 28.9

***

The following is a DFT calculation (GGA-PBE) of AcScF5 after structural relaxation.

Lattice parameters (Å, degrees): 5.997 5.997 8.488 71.25 71.25 71.98
Each line ends with the local moment (μB).
Fractional positions:
F  0.703  0.324  0.506  0.01
F  0.676  0.297  0.994  0.01
F  0.297  0.676  0.494  0.01
F  0.210  0.248  0.888  0.00
F  0.790  0.752  0.112  0.00
F  0.121  0.879  0.750  0.01
F  0.248  0.210  0.388  0.00
F  0.879  0.121  0.250  0.01
F  0.324  0.703  0.006  0.01
F  0.752  0.790  0.612  0.00
Sc  0.000  0.000  0.000  0.48
Sc  0.000  0.000  0.500  0.48
Ac  0.481  0.519  0.750  0.02
Ac  0.519  0.481  0.250  0.02

Output
Total moment in Bohr magnetons per cell: 1.52
V in A^3/atom: 19.0
Formation energy without anion corrections in meV per atom: -3769

***

The following is a DFT calculation (GGA-PBE) of Sc3CdIn after structural relaxation.

Lattice parameters (Å, degrees): 8.583 7.701 7.701 76.70 90.05 90.05
Fractional positions:
Cd  0.251  0.635  0.890
Cd  0.249  0.110  0.365
Cd  0.751  0.890  0.635
Cd  0.749  0.365  0.110
Sc  0.501  0.628  0.628
Sc  0.549  0.702  0.035
Sc  0.499  0.372  0.372
Sc  0.549  0.967  0.298
Sc  0.049  0.035  0.702
Sc  0.999  0.372  0.372
Sc  0.951  0.965  0.298
Sc  0.951  0.702  0.033
Sc  0.451  0.298  0.965
Sc  0.049  0.298  0.967
Sc  0.001  0.628  0.628
Sc  0.451  0.033  0.702
In  0.750  0.332  0.668
In  0.250  0.970  0.030
In  0.750  0.030  0.970
In  0.250  0.668  0.332

Output
Total moment in Bohr magnetons per cell: 0.00
Energy above the lowest structure with this stoichiometry in eV/f.u.: 1.11
Energy of formation in eV/atom: -0.07
V in A^3/atom: 24.8

***

The following is a DFT calculation (GGA-PBE) of Hf8Ge2Ir after structural relaxation.

Lattice parameters (Å, degrees): 5.389 7.386 7.386 66.07 109.18 109.18
Fractional positions:
Hf  0.269  0.424  0.819
Hf  0.731  0.181  0.576
Hf  0.233  0.853  0.853
Hf  0.269  0.819  0.424
Hf  0.766  0.594  0.594
Hf  0.234  0.406  0.406
Hf  0.767  0.147  0.147
Hf  0.731  0.576  0.181
Ir  0.000  0.000  0.000
Ge  0.658  0.787  0.787
Ge  0.342  0.213  0.213

Output
Total moment in Bohr magnetons per cell: 0.00
Energy of formation in eV/atom: -0.05
V in A^3/atom: 22.5

***

The following is a DFT calculation (GGA-PBE) of Ag2P after structural relaxation.

Lattice parameters (Å, degrees): 4.300 4.300 3.159 90.00 90.00 90.00
Fractional positions:
P  0.000  0.000  0.000
Ag  0.500  0.000  0.500
Ag  0.000  0.500  0.500

Output
Total moment in Bohr magnetons per cell: 0.00
Energy above the lowest structure with this stoichiometry in eV/f.u.: 0.20
Energy of formation in eV/atom: 0.24
V in A^3/atom: 19.5

***

The following is a DFT calculation (GGA-PBE) of Sr2ScNiOs after structural relaxation.

Lattice parameters (Å, degrees): 6.036 4.197 6.036 90.00 90.00 90.00
Each line ends with the local moment (μB).
Fractional positions:
Sc  0.000  0.000  0.000  -0.12
Sr  0.500  0.000  0.000  -0.04
Sr  0.000  0.000  0.500  -0.05
Ni  0.000  0.500  0.000  -0.01
Os  0.500  0.500  0.500  1.98

Output
Total moment in Bohr magnetons per cell: 1.65
Energy of formation in eV/atom: 1.48
V in A^3/atom: 30.6

***

The following is a DFT calculation (GGA-PBE) of LaPr7Sm3 after structural relaxation.

Lattice parameters (Å, degrees): 8.825 7.336 7.335 120.00 89.98 90.00
Fractional positions:
Sm  0.783  0.500  0.500
Sm  0.783  0.500  0.000
Sm  0.783  0.000  0.500
Pr  0.123  0.667  0.333
Pr  0.110  0.167  0.833
Pr  0.456  0.833  0.667
Pr  0.110  0.667  0.833
Pr  0.110  0.167  0.333
Pr  0.456  0.333  0.166
Pr  0.456  0.833  0.166
La  0.443  0.333  0.667

Output
Total moment in Bohr magnetons per cell: 0.00
Energy above the lowest structure with this stoichiometry in eV/f.u.: 0.00
Energy of formation in eV/atom: 0.17
V in A^3/atom: 37.4

***

The following is a DFT calculation (GGA-PBE) of Nb3Ru3Pt2 after structural relaxation.

Lattice parameters (Å, degrees): 3.923 3.978 8.075 90.00 90.00 90.00
Fractional positions:
Ru  0.000  0.500  0.000
Ru  0.000  0.500  0.500
Ru  0.500  0.000  0.500
Pt  0.000  0.000  0.744
Pt  0.000  0.000  0.256
Nb  0.500  0.500  0.270
Nb  0.500  0.000  0.000
Nb  0.500  0.500  0.730

Output
Total moment in Bohr magnetons per cell: 0.00
Energy of formation in eV/atom: -0.42
V in A^3/atom: 15.8

***

The following is a DFT calculation (GGA-PBE) of TeP2CS after structural relaxation.

Lattice parameters (Å, degrees): 4.157 4.157 4.424 90.00 90.00 90.00
Fractional positions:
Te  0.500  0.500  0.500
P  0.500  0.000  0.000
P  0.000  0.500  0.000
C  0.000  0.000  0.000
S  0.000  0.000  0.500

Output
Total moment in Bohr magnetons per cell: 0.00
Energy above the lowest structure with this stoichiometry in eV/f.u.: 0.00
V in A^3/atom: 15.3
Formation energy without anion corrections in meV per atom: 1166

***

The following is a DFT calculation (GGA-PBE) of La2PrYS4 after structural relaxation.

Lattice parameters (Å, degrees): 4.055 7.097 7.093 109.16 90.00 90.00
Fractional positions:
S  0.000  0.244  0.758
S  0.500  0.237  0.236
S  0.000  0.756  0.242
S  0.500  0.763  0.764
Pr  0.500  0.500  0.000
La  0.000  0.500  0.500
La  0.500  0.000  0.500
Y  0.000  0.000  0.000

Output
Total moment in Bohr magnetons per cell: 0.00
V in A^3/atom: 24.1
Formation energy without anion corrections in meV per atom: -2087

***

The following is a DFT calculation (GGA-PBE) of LaSiTe3 after structural relaxation.

Lattice parameters (Å, degrees): 6.115 6.115 6.115 90.00 90.00 90.00
Each line ends with the local moment (μB).
Fractional positions:
La  0.000  0.000  0.000  0.01
Te  0.000  0.000  0.500  0.13
Te  0.000  0.500  0.000  0.09
Te  0.500  0.000  0.000  0.09
Si  0.500  0.500  0.500  -0.18

Output
Total moment in Bohr magnetons per cell: 0.03
Energy above the lowest structure with this stoichiometry in eV/f.u.: 6.09
V in A^3/atom: 45.7
Formation energy without anion corrections in meV per atom: 367

***

The following is a DFT calculation (GGA-PBE) of Li2YOs after structural relaxation.

Lattice parameters (Å, degrees): 2.802 2.802 9.248 90.00 90.00 90.00
Each line ends with the local moment (μB).
Fractional positions:
Os  0.500  0.500  0.250  0.69
Li  0.000  0.000  0.454  0.00
Li  0.000  0.000  0.046  0.00
Y  0.500  0.500  0.750  0.10

Output
Total moment in Bohr magnetons per cell: 0.93
Energy above the lowest structure with this stoichiometry in eV/f.u.: 1.75
Energy of formation in eV/atom: 0.60
V in A^3/atom: 18.2

***

The following is a DFT calculation (GGA-PBE) of Ti2Nb2Ga3 after structural relaxation.

Lattice parameters (Å, degrees): 4.366 2.770 9.936 90.00 77.31 90.00
Fractional positions:
Ti  0.569  0.500  0.861
Ti  0.431  0.500  0.139
Ga  0.000  0.000  0.000
Ga  0.147  0.000  0.707
Ga  0.853  0.000  0.293
Nb  0.708  0.500  0.583
Nb  0.292  0.500  0.417

Output
Total moment in Bohr magnetons per cell: 0.00
Energy above the lowest structure with this stoichiometry in eV/f.u.: 0.64
Energy of formation in eV/atom: -0.22
V in A^3/atom: 16.7

***

The following is a DFT calculation (GGA-PBE) of SmY5S4 after structural relaxation.

Lattice parameters (Å, degrees): 3.914 7.764 8.612 102.96 103.13 90.00
Fractional positions:
Y  0.165  0.835  0.329
Y  0.835  0.165  0.671
Y  0.825  0.663  0.651
Y  0.175  0.337  0.349
Y  0.500  0.500  0.000
S  0.670  0.085  0.340
S  0.330  0.915  0.660
S  0.995  0.741  0.990
S  0.005  0.259  0.010
Sm  0.500  0.000  0.000

Output
Total moment in Bohr magnetons per cell: 0.00
V in A^3/atom: 24.8
Formation energy without anion corrections in meV per atom: -1575

***

The following is a DFT calculation (GGA-PBE) of BaLa3Ru after structural relaxation.

Lattice parameters (Å, degrees): 4.589 4.589 23.581 90.00 90.00 120.00
Fractional positions:
Ba  0.000  0.000  0.500
Ba  0.000  0.000  0.000
La  0.333  0.667  0.867
La  0.000  0.000  0.250
La  0.667  0.333  0.367
La  0.000  0.000  0.750
La  0.667  0.333  0.133
La  0.333  0.667  0.633
Ru  0.333  0.667  0.750
Ru  0.667  0.333  0.250

Output
Total moment in Bohr magnetons per cell: 0.00
Energy above the lowest structure with this stoichiometry in eV/f.u.: 1.58
Energy of formation in eV/atom: 0.17
V in A^3/atom: 43.0